{
  "formula": "Mg2ZnMo",
  "functional": "PBEsol",
  "state": "relaxed",
  "lattice_angstrom": [[2.8042, 0.0000, 0.0000], [-1.4021, 4.8781, -0.0332], [0.0000, -1.1167, 4.9341]],
  "species": ["Mo", "Zn", "Mg", "Mg"],
  "frac_coords": [[0.4905, 0.9810, 0.4759], [0.7488, 0.4977, 0.2862], [0.2480, 0.4960, 0.7431], [0.0126, 0.0253, 0.9949]],
  "final_energy_ev_per_atom": -3.92,
  "spacegroup": "Cm",
  "formation_enthalpy_0k_ev_per_atom": 0.274
}